Computed, not measured: a relaxed structure of Tm2Te3Au at the GGA-PBE level of DFT.

As for the crystal system: orthorhombic. As for the total energy: -4.562 eV per atom. The volume comes out at 641 Å³/cell. The calculation puts the total magnetization at 0.00 μB per formula unit.

The structure belongs to space group Pnma (No. 62); the cell edges are 10.712, 4.062 and 14.728 Å and the angles 90.00°, 90.00° and 90.00°. Symmetry generates all atoms from Tm at (0.009, 0.250, 0.249), Tm at (0.240, 0.750, 0.532), Te at (0.040, 0.250, 0.598), Te at (0.059, 0.750, 0.096), Te at (0.241, 0.750, 0.866) and Au at (0.244, 0.250, 0.723).